The following is a DFT calculation (GGA-PBE) of a relaxed Al2NiRh4 crystal.

a = 5.076 Å, b = 5.076 Å, c = 5.076 Å
α = 109.82°, β = 109.82°, γ = 108.78°
Sites, in units of the cell vectors:
Al: 0.000 0.500 0.500
Al: 0.500 0.000 0.500
Ni: 0.000 0.000 0.000
Rh: 0.000 0.000 0.500
Rh: 0.000 0.500 0.000
Rh: 0.500 0.000 0.000
Rh: 0.500 0.500 0.500

crystal system: tetragonal
total magnetic moment: 0.00 μB per formula unit
DOS(E_F): 0.86 states/eV/atom
energy of formation from the pure elements: -0.4090 eV/atom


The following is a DFT calculation (GGA-PBE) of a relaxed Er2Bi2S7 crystal.

a = 9.008 Å, b = 9.008 Å, c = 9.008 Å
α = 153.88°, β = 66.14°, γ = 120.44°
Sites, in units of the cell vectors:
Er: 0.000 0.000 0.000
Er: 0.512 0.012 0.500
Bi: 0.418 0.678 0.741
Bi: 0.937 0.678 0.259
S: 0.091 0.470 0.621
S: 0.243 0.313 0.930
S: 0.352 0.037 0.315
S: 0.382 0.313 0.070
S: 0.702 0.702 0.000
S: 0.722 0.037 0.685
S: 0.849 0.470 0.379

DFT total energy: -0.3790 Ry per atom
crystal system: orthorhombic
total magnetic moment: 0.00 μB per formula unit